Y3SiSb: relaxed, PBE-GGA.

abc: 7.287 7.289 7.968
angles: 62.80 62.82 60.06
Element x y z (fractional)
Y: 0.030 0.302 0.256
Y: 0.198 0.088 0.744
Y: 0.413 0.530 0.256
Y: 0.587 0.470 0.744
Y: 0.802 0.912 0.256
Y: 0.970 0.698 0.744
Si: 0.167 0.667 0.999
Si: 0.833 0.333 0.001
Sb: 0.358 0.858 0.426
Sb: 0.642 0.142 0.574

Results
For the uncorrected formation energy, the calculation gives -629 meV per atom. The raw total energy is -32.08 eV/f.u. Its density of states at the Fermi level is 0.79 states/eV/atom. The density comes out at 4.44 g/cm³.

AcHg2Au: relaxed, PBE-GGA.

abc: 10.580 10.580 10.580
angles: 20.67 20.67 20.67
Element x y z (fractional)
Ac: 0.000 0.000 0.000
Hg: 0.104 0.104 0.104
Hg: 0.896 0.896 0.896
Au: 0.500 0.500 0.500

Results
The raw total energy is -7.38 eV/f.u. The formation energy is 0.6 eV per formula unit. Its density of states at the Fermi level is 0.77 states/eV/atom. The density comes out at 10.61 g/cm³.